No. 1
VASP calculation (GGA-PBEsol) on crystalline TaFeSeN2 at its relaxed geometry.

Values from the calculation:
Magnetization ... 1.6 μB per formula unit
Space group ... No. 123
E_form (uncorrected) ... 0.81 eV per atom

```
TaFeSeN2
1.0
3.6686 0.0000 0.0000
0.0000 3.6686 0.0000
0.0000 0.0000 4.5784
Ta Fe Se N
1 1 1 2
Direct
0.0000 0.0000 0.0000
0.5000 0.5000 0.5000
0.5000 0.5000 0.0000
0.0000 0.5000 0.5000
0.5000 0.0000 0.5000
```

No. 2
VASP calculation (GGA-PBEsol) on crystalline SrSi3Te at its relaxed geometry.

Values from the calculation:
Magnetization ... 0.0 μB per formula unit
Space group ... No. 221
E_form (uncorrected) ... 0.72 eV per atom

```
SrSi3Te
1.0
5.2599 0.0000 0.0000
0.0000 5.2599 0.0000
0.0000 0.0000 5.2599
Sr Si Te
1 3 1
Direct
0.0000 0.0000 0.0000
0.0000 0.5000 0.5000
0.5000 0.0000 0.5000
0.5000 0.5000 0.0000
0.5000 0.5000 0.5000
```

No. 3
VASP calculation (GGA-PBEsol) on crystalline KTa2Re at its relaxed geometry.

Values from the calculation:
Energy relative to the elements ... 3.05 eV/f.u.
Magnetization ... 0.0 μB per formula unit
Space group ... No. 10

```
KTa2Re
1.0
2.8377 0.0000 0.0000
0.0000 4.1901 0.0000
-0.9101 0.0000 7.9956
K Ta Re
1 2 1
Direct
0.0000 0.0000 0.0000
0.1983 0.5000 0.6506
0.8017 0.5000 0.3494
0.5000 0.0000 0.5000
```

No. 4
VASP calculation (GGA-PBEsol) on crystalline LaTcPt2 at its relaxed geometry.

Values from the calculation:
Energy relative to the elements ... 0.30 eV/f.u.
Magnetization ... 0.0 μB per formula unit
Space group ... No. 166

```
LaTcPt2
1.0
1.4313 0.8264 9.7099
-1.4313 0.8264 9.7099
0.0000 -1.6527 9.7099
La Tc Pt
1 1 2
Direct
0.0000 0.0000 0.0000
0.5000 0.5000 0.5000
0.2402 0.2402 0.2402
0.7598 0.7598 0.7598
```

No. 5
VASP calculation (GGA-PBEsol) on crystalline LiHg3Te at its relaxed geometry.

Values from the calculation:
Magnetization ... 0.0 μB per formula unit
Space group ... No. 221
E_form (uncorrected) ... 0.12 eV per atom

```
LiHg3Te
1.0
4.9864 0.0000 0.0000
0.0000 4.9864 0.0000
0.0000 0.0000 4.9864
Li Hg Te
1 3 1
Direct
0.0000 0.0000 0.0000
0.0000 0.0000 0.5000
0.0000 0.5000 0.0000
0.5000 0.0000 0.0000
0.5000 0.5000 0.5000
```

No. 6
VASP calculation (GGA-PBEsol) on crystalline TiSnIO2 at its relaxed geometry.

Values from the calculation:
Magnetization ... 2.5 μB per formula unit
Space group ... No. 123
E_form (uncorrected) ... -0.29 eV per atom

```
TiSnIO2
1.0
4.0266 0.0000 0.0000
0.0000 4.0266 0.0000
0.0000 0.0000 6.1482
Ti Sn I O
1 1 1 2
Direct
0.0000 0.0000 0.0000
0.5000 0.5000 0.5000
0.5000 0.5000 0.0000
0.0000 0.5000 0.5000
0.5000 0.0000 0.5000
```

E_tot list, top to bottom, in eV/atom: -7.674; -3.799; -9.130; -7.559; -1.322; -5.255